[1]
VASP calculation (PBE-GGA) on an optimized crystal structure of LaSbCl.

Cell: 5.007 5.007 5.007 Å, 60.00 60.00 60.00°
Fractional positions:
Cl 0.750 0.750 0.750
Sb 0.500 0.500 0.500
La 0.000 0.000 0.000

raw formation energy: -0.91 eV/atom
polymorph energy (0 for the lowest one): 0.551 eV/atom
DOS(E_F): 3.8 states/eV/f.u.
uncorrected energy: -4.542 eV/atom

[2]
VASP calculation (PBE-GGA) on an optimized crystal structure of LaSbCl.

Cell: 4.524 4.524 9.211 Å, 104.22 104.22 90.00°
Fractional positions:
Cl 0.196 0.196 0.392
La 0.369 0.369 0.739
Sb 0.000 0.500 0.000
Sb 0.500 0.000 0.000
La 0.631 0.631 0.261
Cl 0.804 0.804 0.608

raw formation energy: -1.46 eV/atom
polymorph energy (0 for the lowest one): 0.000 eV/atom
DOS(E_F): 1.2 states/eV/f.u.
uncorrected energy: -5.092 eV/atom

[3]
VASP calculation (PBE-GGA) on an optimized crystal structure of LaSb2Cl.

Cell: 5.345 5.345 6.047 Å, 69.93 69.93 46.95°
Fractional positions:
Sb 0.261 0.261 0.194
Cl 0.483 0.483 0.572
Sb 0.988 0.988 0.072
La 0.768 0.768 0.662

raw formation energy: -0.98 eV/atom
polymorph energy (0 for the lowest one): 0.145 eV/atom
DOS(E_F): 1.9 states/eV/f.u.
uncorrected energy: -4.730 eV/atom

[4]
VASP calculation (PBE-GGA) on an optimized crystal structure of LaSb2Cl.

Cell: 6.143 6.143 3.672 Å, 90.00 90.00 123.82°
Fractional positions:
La 0.000 0.500 0.500
Cl 0.500 0.000 0.500
Sb 0.500 0.500 0.000
Sb 0.000 0.000 0.000

raw formation energy: -0.75 eV/atom
polymorph energy (0 for the lowest one): 0.370 eV/atom
DOS(E_F): 1.8 states/eV/f.u.
uncorrected energy: -4.506 eV/atom

[5]
VASP calculation (PBE-GGA) on an optimized crystal structure of LaSbCl.

Cell: 8.117 8.117 3.518 Å, 77.48 77.48 25.03°
Fractional positions:
Sb 0.695 0.695 0.305
La 0.349 0.349 0.651
Cl 0.956 0.956 0.044

raw formation energy: -1.24 eV/atom
polymorph energy (0 for the lowest one): 0.221 eV/atom
DOS(E_F): 1.7 states/eV/f.u.
uncorrected energy: -4.872 eV/atom

[6]
VASP calculation (PBE-GGA) on an optimized crystal structure of LaSbCl4.

Cell: 5.913 5.913 5.913 Å, 60.00 60.00 60.00°
Fractional positions:
La 0.750 0.750 0.750
Cl 0.375 0.876 0.375
Sb 0.000 0.000 0.000
Cl 0.375 0.375 0.876
Cl 0.375 0.375 0.375
Cl 0.876 0.375 0.375

raw formation energy: -0.41 eV/atom
DOS(E_F): 6.0 states/eV/f.u.
uncorrected energy: -3.150 eV/atom

[7]
VASP calculation (PBE-GGA) on an optimized crystal structure of LaSb2Cl.

Cell: 4.280 4.278 5.893 Å, 90.00 90.00 90.00°
Fractional positions:
La 0.000 0.500 0.500
Cl 0.500 0.000 0.500
Sb 0.500 0.500 0.000
Sb 0.000 0.000 0.000

raw formation energy: -1.08 eV/atom
polymorph energy (0 for the lowest one): 0.038 eV/atom
DOS(E_F): 1.8 states/eV/f.u.
uncorrected energy: -4.837 eV/atom

[8]
VASP calculation (PBE-GGA) on an optimized crystal structure of LaSb2Cl.

Cell: 5.475 5.475 5.475 Å, 60.00 60.00 60.00°
Fractional positions:
Sb 0.250 0.250 0.250
Sb 0.750 0.750 0.750
La 0.500 0.500 0.500
Cl 0.000 0.000 0.000

raw formation energy: -0.37 eV/atom
polymorph energy (0 for the lowest one): 0.754 eV/atom
DOS(E_F): 2.1 states/eV/f.u.
uncorrected energy: -4.121 eV/atom

[9]
VASP calculation (PBE-GGA) on an optimized crystal structure of LaSbCl.

Cell: 4.243 4.243 7.280 Å, 90.00 90.00 120.00°
Fractional positions:
Sb 0.333 0.667 0.602
La 0.667 0.333 0.307
Cl 0.000 0.000 0.091

raw formation energy: -1.12 eV/atom
polymorph energy (0 for the lowest one): 0.337 eV/atom
DOS(E_F): 2.5 states/eV/f.u.
uncorrected energy: -4.756 eV/atom

[10]
VASP calculation (PBE-GGA) on an optimized crystal structure of LaSb3Cl.

Cell: 5.335 5.335 5.335 Å, 90.00 90.00 90.00°
Fractional positions:
La 0.500 0.500 0.500
Sb 0.000 0.000 0.500
Sb 0.000 0.500 0.000
Cl 0.000 0.000 0.000
Sb 0.500 0.000 0.000

raw formation energy: -0.05 eV/atom
polymorph energy (0 for the lowest one): 0.000 eV/atom
DOS(E_F): 2.9 states/eV/f.u.
uncorrected energy: -3.883 eV/atom

[11]
VASP calculation (PBE-GGA) on an optimized crystal structure of LaSb2Cl.

Cell: 6.352 6.352 6.352 Å, 141.80 124.83 69.09°
Fractional positions:
La 0.306 0.806 0.500
Sb 0.758 0.258 0.500
Sb 0.948 0.948 0.000
Cl 0.489 0.489 0.000

raw formation energy: -0.95 eV/atom
polymorph energy (0 for the lowest one): 0.170 eV/atom
DOS(E_F): 0.0 states/eV/f.u.
uncorrected energy: -4.706 eV/atom

[12]
VASP calculation (PBE-GGA) on an optimized crystal structure of La3SbCl3.

Cell: 7.541 7.541 10.932 Å, 69.82 69.82 60.00°
Fractional positions:
Cl 0.887 0.551 0.340
Cl 0.551 0.222 0.340
La 0.730 0.392 0.818
La 0.939 0.270 0.182
La 0.061 0.730 0.818
Cl 0.778 0.113 0.660
La 0.392 0.061 0.818
Cl 0.449 0.778 0.660
Sb 0.667 0.667 0.000
La 0.270 0.608 0.182
Cl 0.222 0.887 0.340
Sb 0.333 0.333 0.000
La 0.608 0.939 0.182
Cl 0.113 0.449 0.660

raw formation energy: -1.67 eV/atom
DOS(E_F): 3.9 states/eV/f.u.
uncorrected energy: -5.164 eV/atom

Among the records above, which one has the highest DOS(E_F)?
LaSbCl4

Repeat the third record exactly.
VASP calculation (PBE-GGA) on an optimized crystal structure of LaSb2Cl.

Cell: 5.345 5.345 6.047 Å, 69.93 69.93 46.95°
Fractional positions:
Sb 0.261 0.261 0.194
Cl 0.483 0.483 0.572
Sb 0.988 0.988 0.072
La 0.768 0.768 0.662

raw formation energy: -0.98 eV/atom
polymorph energy (0 for the lowest one): 0.145 eV/atom
DOS(E_F): 1.9 states/eV/f.u.
uncorrected energy: -4.730 eV/atom